Entry 1:
! SCAN SrTl2Ni2, single point on PBEsol structure; values from VASP
! **Energy of formation from the pure elements**: -0.02 eV per atom
! **Mass density**: 9.26 Mg/m³
! **VASP energy**: -39.891 eV per atom
&SYSTEM
  ibrav = 0, nat = 5, ntyp = 3
/
ATOMIC_SPECIES
Sr 87.62 Sr.upf
Tl 204.38 Tl.upf
Ni 58.69 Ni.upf
ATOMIC_POSITIONS crystal
Sr 0.000 0.000 0.000
Tl 0.353 0.353 0.706
Tl 0.647 0.647 0.294
Ni 0.250 0.750 0.500
Ni 0.750 0.250 0.500
CELL_PARAMETERS angstrom
-2.009 -0.291 4.177
1.654 -4.311 0.495
4.404 4.171 -0.173

=====

Entry 2:
! SCAN LiTa2Ag, single point on PBEsol structure; values from VASP
! **Polymorph energy (0 for the lowest one)**: 41 kJ/mol of formula units
! **Energy of formation from the pure elements**: 0.44 eV per atom
! **Mass density**: 12.15 Mg/m³
! **VASP energy**: -41.292 eV per atom
&SYSTEM
  ibrav = 0, nat = 4, ntyp = 3
/
ATOMIC_SPECIES
Ag 107.87 Ag.upf
Li 6.94 Li.upf
Ta 180.95 Ta.upf
ATOMIC_POSITIONS crystal
Ag 0.518 0.518 0.036
Li 0.235 0.735 0.469
Ta 0.996 0.996 0.993
Ta 0.751 0.251 0.502
CELL_PARAMETERS angstrom
-0.749 2.539 -1.080
-3.417 -2.203 -2.810
-1.022 0.350 5.315